(1)
# TcSbPd3 | Alexandria via LeMat-Bulk | PBEsol | optimized geometry
data_TcSbPd3
_chemical_formula_sum 'Tc1 Sb1 Pd3'
_cell_length_a 4.796
_cell_length_b 4.796
_cell_length_c 4.796
_cell_angle_alpha 90.00
_cell_angle_beta 90.00
_cell_angle_gamma 90.00
_symmetry_space_group_name_H-M 'P 1'
_symmetry_Int_Tables_number 1
_symmetry_space_group_name_Hall 'P 1'
loop_
_atom_site_label
_atom_site_type_symbol
_atom_site_fract_x
_atom_site_fract_y
_atom_site_fract_z
Sb1 Sb 0.000 0.000 0.000
Tc1 Tc 0.500 0.500 0.500
Pd1 Pd 0.000 0.500 0.000
Pd2 Pd 0.000 0.000 0.500
Pd3 Pd 0.500 0.000 0.000
# - ΔE_f (raw) (meV/atom) = 1144.1

***

(2)
# TcSbTe2Pd | Alexandria via LeMat-Bulk | PBEsol | optimized geometry
data_TcSbTe2Pd
_chemical_formula_sum 'Tc1 Sb1 Te2 Pd1'
_cell_length_a 5.009
_cell_length_b 5.215
_cell_length_c 5.215
_cell_angle_alpha 90.00
_cell_angle_beta 90.00
_cell_angle_gamma 90.00
_symmetry_space_group_name_H-M 'P 1'
_symmetry_Int_Tables_number 1
_symmetry_space_group_name_Hall 'P 1'
loop_
_atom_site_label
_atom_site_type_symbol
_atom_site_fract_x
_atom_site_fract_y
_atom_site_fract_z
Sb1 Sb 0.500 0.000 0.000
Te1 Te 0.000 0.000 0.500
Te2 Te 0.000 0.500 0.000
Tc1 Tc 0.500 0.500 0.500
Pd1 Pd 0.000 0.000 0.000
# - ΔE_f (raw) (meV/atom) = 1073.1

***

- What is the ΔE_f (raw) in the first record?
  1144.1 meV/atom